Computed, not measured: an optimized crystal structure of Pm4Dy3Mg at the PBE level of DFT.

Cell and atoms, written as CIF:
```
data_Pm4Dy3Mg
_space_group_name_H-M_alt 'P 4/m m m'
_space_group_IT_number 123
_space_group_name_Hall '-P 4 2'
_cell_length_a 3.622
_cell_length_b 3.622
_cell_length_c 19.513
_cell_angle_alpha 90.00
_cell_angle_beta 90.00
_cell_angle_gamma 90.00
loop_
_atom_site_label
_atom_site_type_symbol
_atom_site_fract_x
_atom_site_fract_y
_atom_site_fract_z
Pm1 Pm 0.000 0.000 0.113
Pm2 Pm 0.000 0.000 0.371
Dy1 Dy 0.500 0.500 0.241
Dy2 Dy 0.500 0.500 0.500
Mg1 Mg 0.500 0.500 0.000
```

Calculated values
* ΔE_f: -0.0089 eV per atom

=====

Computed, not measured: an optimized crystal structure of KZn2Ni at the PBE level of DFT.

Cell and atoms, written as CIF:
```
data_KZn2Ni
_space_group_name_H-M_alt 'I m m m'
_space_group_IT_number 71
_space_group_name_Hall '-I 2 2'
_cell_length_a 2.792
_cell_length_b 5.556
_cell_length_c 10.651
_cell_angle_alpha 90.00
_cell_angle_beta 90.00
_cell_angle_gamma 90.00
loop_
_atom_site_label
_atom_site_type_symbol
_atom_site_fract_x
_atom_site_fract_y
_atom_site_fract_z
K1 K 0.000 0.000 0.000
Zn1 Zn 0.000 0.500 0.187
Ni1 Ni 0.000 0.000 0.500
```

Calculated values
* ΔE_f: 0.2446 eV per atom
* relative energy among the computed polymorphs: 245 meV/atom

=====

Computed, not measured: an optimized crystal structure of LiPr2In2 at the PBE level of DFT.

Cell and atoms, written as CIF:
```
data_LiPr2In2
_space_group_name_H-M_alt 'C 1 2/m 1'
_space_group_IT_number 12
_cell_length_a 11.213
_cell_length_b 4.898
_cell_length_c 11.604
_cell_angle_alpha 90.00
_cell_angle_beta 117.55
_cell_angle_gamma 90.00
loop_
_space_group_symop_operation_xyz
'x,y,z'
'-x,-y,-z'
'-x,y,-z'
'x,-y,z'
'x+1/2,y+1/2,z'
'-x+1/2,-y+1/2,-z'
'-x+1/2,y+1/2,-z'
'x+1/2,-y+1/2,z'
loop_
_atom_site_label
_atom_site_type_symbol
_atom_site_fract_x
_atom_site_fract_y
_atom_site_fract_z
Li1 Li 0.224 0.000 0.362
Pr1 Pr 0.016 0.500 0.330
Pr2 Pr 0.181 0.500 0.100
In1 In 0.018 0.000 0.880
In2 In 0.145 0.000 0.575
```

Calculated values
* ΔE_f: -0.3713 eV per atom
* relative energy among the computed polymorphs: 0 meV/atom

=====

Computed, not measured: an optimized crystal structure of P2PbSN at the PBE level of DFT.

Cell and atoms, written as CIF:
```
data_P2PbSN
_space_group_name_H-M_alt 'P 4/m m m'
_space_group_IT_number 123
_space_group_name_Hall '-P 4 2'
_cell_length_a 4.256
_cell_length_b 4.256
_cell_length_c 4.563
_cell_angle_alpha 90.00
_cell_angle_beta 90.00
_cell_angle_gamma 90.00
loop_
_atom_site_label
_atom_site_type_symbol
_atom_site_fract_x
_atom_site_fract_y
_atom_site_fract_z
P1 P 0.000 0.500 0.000
Pb1 Pb 0.000 0.000 0.500
S1 S 0.500 0.500 0.500
N1 N 0.500 0.500 0.000
```

Calculated values
* ΔE_f (raw): 4.51 eV/f.u.
* relative energy among the computed polymorphs: 0 meV/atom

=====

Computed, not measured: an optimized crystal structure of Tl2AgSb at the PBE level of DFT.

Cell and atoms, written as CIF:
```
data_Tl2AgSb
_space_group_name_H-M_alt 'C 1 2/m 1'
_space_group_IT_number 12
_cell_length_a 11.160
_cell_length_b 3.360
_cell_length_c 5.825
_cell_angle_alpha 90.00
_cell_angle_beta 103.23
_cell_angle_gamma 90.00
loop_
_space_group_symop_operation_xyz
'x,y,z'
'-x,-y,-z'
'-x,y,-z'
'x,-y,z'
'x+1/2,y+1/2,z'
'-x+1/2,-y+1/2,-z'
'-x+1/2,y+1/2,-z'
'x+1/2,-y+1/2,z'
loop_
_atom_site_label
_atom_site_type_symbol
_atom_site_fract_x
_atom_site_fract_y
_atom_site_fract_z
Tl1 Tl 0.237 0.000 0.238
Ag1 Ag 0.000 0.500 0.000
Sb1 Sb 0.000 0.000 0.500
```

Calculated values
* ΔE_f (raw): 0.55 eV/f.u.
* relative energy among the computed polymorphs: 132 meV/atom

=====

Computed, not measured: an optimized crystal structure of Dy5AgSb2 at the PBE level of DFT.

Cell and atoms, written as CIF:
```
data_Dy5AgSb2
_space_group_name_H-M_alt 'C m c m'
_space_group_IT_number 63
_space_group_name_Hall '-C 2c 2'
_cell_length_a 5.746
_cell_length_b 11.901
_cell_length_c 14.142
_cell_angle_alpha 90.00
_cell_angle_beta 90.00
_cell_angle_gamma 90.00
loop_
_atom_site_label
_atom_site_type_symbol
_atom_site_fract_x
_atom_site_fract_y
_atom_site_fract_z
Dy1 Dy 0.000 0.066 0.104
Dy2 Dy 0.000 0.375 0.750
Dy3 Dy 0.000 0.380 0.058
Ag1 Ag 0.000 0.261 0.250
Sb1 Sb 0.000 0.197 0.599
```

Calculated values
* ΔE_f (raw): -2.82 eV/f.u.